{"formula": "V2CrGaPb", "functional": "PBE-GGA", "state": "relaxed", "lattice": [[4.415, 0.000, 0.000], [0.000, 4.738, 0.000], [0.000, 0.000, 4.415]], "species": ["Cr", "Ga", "V", "Pb", "V"], "frac_coords": [[0.000, 0.000, 0.000], [0.000, 0.500, 0.000], [0.500, 0.000, 0.000], [0.500, 0.500, 0.500], [0.000, 0.000, 0.500]], "energy_ev_per_atom": -6.14, "sg": "P4/mmm (123)", "ef_mev_per_atom": 776}